(1)
The following is a DFT calculation (PBE) of a geometry-optimized HoIn3Hg3 structure.

Unit cell a=7.092 b=7.092 c=7.413 alpha=90.01 beta=90.01 gamma=84.44
Atoms (fractional coordinates):
Ho 0.766 0.766 0.000
Ho 0.234 0.234 0.000
Hg 0.500 0.000 0.256
Hg 0.000 0.000 0.254
Hg 0.000 0.500 0.256
Hg 0.500 0.000 0.744
Hg 0.000 0.500 0.744
Hg 0.000 0.000 0.746
In 0.692 0.308 0.000
In 0.765 0.765 0.500
In 0.679 0.321 0.500
In 0.321 0.679 0.500
In 0.235 0.235 0.500
In 0.308 0.692 0.000

Energy: -2.0833 eV/atom
E_form: -0.126 eV/atom


(2)
The following is a DFT calculation (PBE) of a geometry-optimized Ho4InHg3 structure.

Unit cell a=3.789 b=4.792 c=11.646 alpha=90.00 beta=90.00 gamma=90.00
Atoms (fractional coordinates):
Hg 0.000 0.000 0.416
Hg 0.500 0.000 0.914
Hg 0.000 0.500 0.585
Ho 0.000 0.000 0.153
Ho 0.000 0.500 0.847
Ho 0.500 0.500 0.357
Ho 0.500 0.000 0.646
In 0.500 0.500 0.081

Energy: -3.1839 eV/atom
E_form: -0.440 eV/atom


(3)
The following is a DFT calculation (PBE) of a geometry-optimized Ho2InHg5 structure.

Unit cell a=5.386 b=5.386 c=7.855 alpha=110.05 beta=110.05 gamma=90.00
Atoms (fractional coordinates):
Hg 0.374 0.874 0.747
Hg 0.126 0.626 0.253
Hg 0.626 0.126 0.253
Hg 0.874 0.374 0.747
Hg 0.500 0.500 0.000
In 0.000 0.000 0.000
Ho 0.751 0.751 0.502
Ho 0.249 0.249 0.498

Energy: -1.9237 eV/atom
E_form: -0.248 eV/atom


(4)
The following is a DFT calculation (PBE) of a geometry-optimized Ho6In6Hg structure.

Unit cell a=6.315 b=6.315 c=10.503 alpha=90.00 beta=90.00 gamma=120.01
Atoms (fractional coordinates):
In 0.000 0.500 0.750
In 0.500 0.000 0.750
In 0.500 0.500 0.250
In 0.500 0.000 0.250
In 0.000 0.500 0.250
In 0.500 0.500 0.750
Ho 0.667 0.333 0.500
Ho 0.000 0.000 0.315
Ho 0.333 0.667 0.000
Ho 0.667 0.333 0.000
Ho 0.333 0.667 0.500
Ho 0.000 0.000 0.685
Hg 0.000 0.000 0.000

Energy: -3.6963 eV/atom
E_form: -0.296 eV/atom


(5)
The following is a DFT calculation (PBE) of a geometry-optimized Ho3InHg5 structure.

Unit cell a=6.348 b=8.929 c=8.929 alpha=120.00 beta=90.00 gamma=90.00
Atoms (fractional coordinates):
Hg 0.750 0.000 0.328
Hg 0.000 0.667 0.333
Hg 0.500 0.333 0.667
Hg 0.750 0.672 0.672
Hg 0.000 0.333 0.667
Hg 0.750 0.328 0.000
Hg 0.500 0.667 0.333
Hg 0.250 0.328 0.328
Hg 0.250 0.672 0.000
Hg 0.250 0.000 0.672
Ho 0.750 0.660 0.000
Ho 0.750 0.000 0.660
Ho 0.750 0.340 0.340
Ho 0.250 0.340 0.000
Ho 0.250 0.000 0.340
Ho 0.250 0.660 0.660
In 0.000 0.000 0.000
In 0.500 0.000 0.000

Energy: -2.4064 eV/atom
E_form: -0.409 eV/atom


(6)
The following is a DFT calculation (PBE) of a geometry-optimized Ho4InHg3 structure.

Unit cell a=3.701 b=3.701 c=14.984 alpha=90.00 beta=90.00 gamma=90.00
Atoms (fractional coordinates):
Ho 0.000 0.000 0.376
Ho 0.000 0.000 0.870
Ho 0.000 0.000 0.130
Ho 0.000 0.000 0.624
Hg 0.500 0.500 0.252
Hg 0.500 0.500 0.500
Hg 0.500 0.500 0.748
In 0.500 0.500 0.000

Energy: -3.2188 eV/atom
E_form: -0.474 eV/atom